No. 1
This record from Alexandria via LeMat-Bulk describes crystalline ZnIn2Ru at its relaxed geometry. The functional is PBE.

CIF file:
```
data_ZnIn2Ru
_chemical_formula_sum 'Zn1 In2 Ru1'
_space_group_name_H-M_alt 'P 1'
_space_group_IT_number 1
_cell_length_a 4.753
_cell_length_b 4.753
_cell_length_c 3.253
_cell_angle_alpha 89.99
_cell_angle_beta 89.99
_cell_angle_gamma 102.72
loop_
_space_group_symop_operation_xyz
'x,y,z'
loop_
_atom_site_label
_atom_site_type_symbol
_atom_site_fract_x
_atom_site_fract_y
_atom_site_fract_z
Zn1 Zn 0.000 0.500 0.500
In1 In 0.000 0.000 0.000
Ru1 Ru 0.500 0.000 0.500
In2 In 0.500 0.500 0.000
```


No. 2
This record from Alexandria via LeMat-Bulk describes crystalline NdSm3Er6Tm2 at its relaxed geometry. The functional is PBE.

CIF file:
```
data_NdSm3Er6Tm2
_chemical_formula_sum 'Nd1 Sm3 Er6 Tm2'
_space_group_name_H-M_alt 'P 1'
_space_group_IT_number 1
_cell_length_a 6.144
_cell_length_b 6.144
_cell_length_c 11.731
_cell_angle_alpha 95.00
_cell_angle_beta 95.00
_cell_angle_gamma 119.97
loop_
_space_group_symop_operation_xyz
'x,y,z'
loop_
_atom_site_label
_atom_site_type_symbol
_atom_site_fract_x
_atom_site_fract_y
_atom_site_fract_z
Sm1 Sm 0.500 0.500 0.500
Sm2 Sm 0.833 0.167 0.500
Er1 Er 0.251 0.251 0.752
Er2 Er 0.583 0.917 0.752
Tm1 Tm 0.667 0.333 0.000
Er3 Er 0.917 0.583 0.752
Sm3 Sm 0.167 0.833 0.500
Er4 Er 0.083 0.417 0.248
Tm2 Tm 0.333 0.667 0.000
Nd1 Nd 0.000 0.000 0.000
Er5 Er 0.749 0.749 0.248
Er6 Er 0.417 0.083 0.248
```


no.,DFT formation energy (kJ/mol of formula units),magnetic moment (μB per cell),energy (eV/atom)
1,50,0.00,-3.877
2,23,0.00,-4.584